No. 1
VASP calculation (PBE) on a relaxed structure of TcAs2Br.

For the mass density, the calculation gives 5.88 g/cm³. The energy relative to the elements, uncorrected is 0.012 eV per atom. For the offset from the most stable computed form, the calculation gives 0.021 eV per atom. The size of the total moment comes out at 0.000 μB/atom. As for the density of states at the Fermi level: 0.658 states/eV per atom.

The space group is C2/m (No. 12) and the conventional cell measures 7.5643, 3.2290 and 8.0399 Å, with angles of 90.00, 109.53 and 90.00 degrees. The asymmetric unit holds Tc at (0.0000, 0.0000, 0.0000), As at (0.1478, 0.5000, 0.8445) and Br at (0.0000, 0.5000, 0.5000).

No. 2
VASP calculation (PBE) on a relaxed structure of Tb5HfP6.

For the mass density, the calculation gives 7.28 g/cm³. The value obtained for the formation energy is -1.561 eV/atom. The size of the total moment comes out at 0.000 μB/atom. As for the density of states at the Fermi level: 0.212 states/eV per atom.

The space group is C2/m (No. 12) and the conventional cell measures 6.8684, 11.8862 and 6.8683 Å, with angles of 90.00, 109.50 and 90.00 degrees. The asymmetric unit holds Tb at (0.0000, 0.0000, 0.0000), Tb at (0.0000, 0.1658, 0.5000), Tb at (0.0000, 0.3305, 0.0000), Hf at (0.0000, 0.5000, 0.5000), P at (0.2391, 0.5000, 0.2564) and P at (0.2408, 0.3394, 0.7415).

No. 3
VASP calculation (PBE) on a relaxed structure of RbS3.

For the mass density, the calculation gives 1.99 g/cm³. The energy relative to the elements, uncorrected is -0.525 eV per atom. For the offset from the most stable computed form, the calculation gives 0.000 eV per atom. The size of the total moment comes out at 0.000 μB/atom.

The space group is P-1 (No. 2) and the conventional cell measures 6.8059, 6.8176 and 6.9897 Å, with angles of 90.17, 105.46 and 103.63 degrees. The asymmetric unit holds Rb at (0.0448, 0.2744, 0.2650), S at (0.0445, 0.2470, 0.7647), S at (0.3572, 0.3431, 0.7860) and S at (0.4533, 0.6409, 0.7964).

No. 4
VASP calculation (PBE) on a relaxed structure of GdAlAg4.

For the mass density, the calculation gives 8.45 g/cm³. The value obtained for the formation energy is -0.147 eV/atom. The size of the total moment comes out at 1.185 μB/atom. As for the density of states at the Fermi level: 0.490 states/eV per atom.

The space group is F-43m (No. 216) and the conventional cell measures 7.8521, 7.8521 and 7.8521 Å, with angles of 90.00, 90.00 and 90.00 degrees. The asymmetric unit holds Gd at (0.0000, 0.0000, 0.0000), Al at (0.2500, 0.2500, 0.7500) and Ag at (0.1247, 0.1247, 0.3753).

No. 5
VASP calculation (PBE) on a relaxed structure of AcTbSc.

For the mass density, the calculation gives 7.19 g/cm³. The value obtained for the formation energy is 0.117 eV/atom. For the offset from the most stable computed form, the calculation gives 0.009 eV per atom. The size of the total moment comes out at 0.000 μB/atom. As for the density of states at the Fermi level: 1.599 states/eV per atom.

The space group is P1 (No. 1) and the conventional cell measures 6.2511, 8.0613 and 8.8409 Å, with angles of 68.44, 89.28 and 74.74 degrees. The asymmetric unit holds Ac at (0.0000, 0.0000, 0.0000), Ac at (0.0633, 0.2836, 0.5599), Ac at (0.4101, 0.2703, 0.9038), Ac at (0.6632, 0.9953, 0.6491), Tb at (0.1581, 0.5190, 0.1531), Tb at (0.2480, 0.7527, 0.7319), Tb at (0.3304, 0.0016, 0.3192), Tb at (0.7424, 0.2694, 0.2341), Sc at (0.4894, 0.5350, 0.4689), Sc at (0.5869, 0.7416, 0.0799), Sc at (0.8204, 0.5200, 0.8202) and Sc at (0.9060, 0.7556, 0.4025).

No. 6
VASP calculation (PBE) on a relaxed structure of Sb2Au2Cl.

For the mass density, the calculation gives 9.05 g/cm³. The energy relative to the elements, uncorrected is -0.044 eV per atom. For the offset from the most stable computed form, the calculation gives 0.000 eV per atom. The size of the total moment comes out at 0.000 μB/atom. As for the density of states at the Fermi level: 0.567 states/eV per atom.

The space group is I4/mmm (No. 139) and the conventional cell measures 4.1586, 4.1586 and 14.2724 Å, with angles of 90.00, 90.00 and 90.00 degrees. The asymmetric unit holds Sb at (0.0000, 0.0000, 0.1160), Au at (0.0000, 0.5000, 0.2500) and Cl at (0.0000, 0.0000, 0.5000).

Computed total energy, in the same sequence as the records: -5.323; -7.025; -3.862; -5.019; -4.907; -3.374 eV per atom.